# 1
First-principles (GGA-PBE) data for a geometry-optimized LiScCuSi structure, as listed in OQMD via LeMat-Bulk.

Space-group type: F-43m (216)
E: -4.633 eV/atom
Mass density: 4.2 g/cm3

POSCAR file:
```
LiScCuSi
1.0
0.0000 3.0558 3.0558
3.0558 0.0000 3.0558
3.0558 3.0558 0.0000
Cu Li Si Sc
1 1 1 1
Direct
0.2500 0.2500 0.2500
0.5000 0.5000 0.5000
0.0000 0.0000 0.0000
0.7500 0.7500 0.7500
```

***

# 2
First-principles (GGA-PBE) data for a geometry-optimized LiScCuSn structure, as listed in OQMD via LeMat-Bulk.

Space-group type: F-43m (216)
E: -4.365 eV/atom
Mass density: 5.9 g/cm3

POSCAR file:
```
LiScCuSn
1.0
0.0000 3.2074 3.2074
3.2074 0.0000 3.2074
3.2074 3.2074 0.0000
Li Sc Cu Sn
1 1 1 1
Direct
0.5000 0.5000 0.5000
0.7500 0.7500 0.7500
0.0000 0.0000 0.0000
0.2500 0.2500 0.2500
```

***

# 3
First-principles (GGA-PBE) data for a geometry-optimized LiScCuSn structure, as listed in OQMD via LeMat-Bulk.

Space-group type: F-43m (216)
E: -4.340 eV/atom
Mass density: 5.4 g/cm3

POSCAR file:
```
LiScCuSn
1.0
2.3300 2.4339 3.2291
-2.2769 3.0054 2.7501
-0.5907 -0.9667 4.5273
Li Sn Cu Sc
1 1 1 1
Direct
0.7500 0.7500 0.7500
0.0000 0.0000 0.0000
0.5000 0.5000 0.5000
0.2500 0.2500 0.2500
```

***

# 4
First-principles (GGA-PBE) data for a geometry-optimized LiScCuSn structure, as listed in OQMD via LeMat-Bulk.

Space-group type: F-43m (216)
E: -4.224 eV/atom
Mass density: 5.5 g/cm3

POSCAR file:
```
LiScCuSn
1.0
2.8537 -2.6251 2.5340
0.2305 0.5929 4.5882
-1.7292 -3.2235 2.8416
Li Cu Sc Sn
1 1 1 1
Direct
0.5000 0.5000 0.5000
0.7500 0.7500 0.7500
0.2500 0.2500 0.2500
0.0000 0.0000 0.0000
```